A plane-wave DFT calculation with PBE was carried out for Li2AcNpF8 after structural relaxation.

Cell lengths 7.058, 7.058, 7.058 Å; angles 134.82, 134.82, 65.81 degrees
Element x y z (fractional)
1 Li 0.000 0.000 0.000
2 Li 0.750 0.250 0.500
3 Ac 0.250 0.750 0.500
4 Np 0.500 0.500 0.000
5 F 0.105 0.480 0.917
6 F 0.194 0.084 0.434
7 F 0.240 0.806 0.890
8 F 0.520 0.437 0.625
9 F 0.563 0.188 0.083
10 F 0.650 0.760 0.566
11 F 0.812 0.895 0.375
12 F 0.916 0.350 0.110

Properties
SG: I-4 (82)
Uncorrected energy, eV per atom: -6.51
E_form (uncorrected), kJ/mol of atoms: -340
Spin magnetization, μB/cell: 4.00